Here is a crystal of Be2PtBr relaxed with PBEsol from Alexandria. Energies are from SCAN.

Cell: 6.2054 3.7304 6.5115 Å, 90.00 118.06 90.00°
Closest atoms and distances in Å follow each position.
Space group Cm (No. 8)
One atom of each set of equivalent atoms:
Be 0.0000 0.0000 0.0000 x2  3 Be 2.05-2.14, 1 Pt 2.26
Be 0.1639 0.5000 0.9891 x2  3 Be 2.05-2.14, 1 Br 2.27, 1 Pt 2.28
Pt 0.4115 0.0000 0.1554 x2  6 Be 2.26-2.33
Br 0.1598 0.5000 0.6381 x2  2 Be 2.27-2.31

* offset from the most stable computed form: 0.00 eV/f.u.
* E_form (uncorrected): -367 meV per atom
* spin magnetization: 0.00 μB per formula unit